The following is a DFT calculation (GGA-PBE) of a geometry-optimized TlSbPb2 structure. Values from VASP.

The uncorrected formation energy comes out at 0.0291 eV per atom. The calculation puts the spin magnetization at 0.000 μB per formula unit. The energy relative to the lowest polymorph listed for this composition comes out at 16 meV/atom.

The structure in Quantum ESPRESSO input format:
```
&SYSTEM
  ibrav = 0, nat = 4, ntyp = 3
/
ATOMIC_SPECIES
Pb 207.20 Pb.upf
Tl 204.38 Tl.upf
Sb 121.76 Sb.upf
CELL_PARAMETERS angstrom
-3.190 -0.885 0.941
-0.206 -3.354 -3.854
2.661 -5.060 4.261
ATOMIC_POSITIONS angstrom
Pb 0.039 -0.074 0.062
Pb -0.994 -3.459 -0.329
Tl 0.301 -5.921 1.745
Sb 1.250 -2.376 2.001
```

The following is a DFT calculation (GGA-PBE) of a geometry-optimized Na4LiTi3S8 structure. Values from VASP.

The uncorrected formation energy comes out at -1.2947 eV per atom. The calculation puts the spin magnetization at 0.001 μB per formula unit.

The structure in Quantum ESPRESSO input format:
```
&SYSTEM
  ibrav = 0, nat = 16, ntyp = 4
/
ATOMIC_SPECIES
S 32.06 S.upf
Na 22.99 Na.upf
Ti 47.87 Ti.upf
Li 6.94 Li.upf
CELL_PARAMETERS angstrom
-5.006 4.906 -1.699
-3.039 -4.917 -5.241
0.604 -2.329 6.799
ATOMIC_POSITIONS angstrom
S -5.190 -2.174 1.629
S -2.251 -0.166 -1.770
S -4.666 2.200 -2.590
S -2.775 -4.541 2.449
S -1.877 -1.355 1.615
S -5.564 -0.985 -1.756
S -4.374 1.077 0.691
S -3.066 -3.417 -0.832
Na -2.503 2.453 -0.850
Na 0.302 -1.165 3.399
Na -2.201 1.288 2.550
Na 0.000 0.000 0.000
Ti -3.720 -1.170 -0.071
Ti -4.022 -0.005 -3.470
Ti -1.218 -3.623 0.779
Li -1.520 -2.458 -2.620
```

The following is a DFT calculation (GGA-PBE) of a geometry-optimized CeAlCo2H8 structure. Values from VASP.

The calculation puts the spin magnetization at 1.183 μB per formula unit. The total energy comes out at -4.378 eV/atom.

The structure in Quantum ESPRESSO input format:
```
&SYSTEM
  ibrav = 0, nat = 12, ntyp = 4
/
ATOMIC_SPECIES
H 1.01 H.upf
Co 58.93 Co.upf
Al 26.98 Al.upf
Ce 140.12 Ce.upf
CELL_PARAMETERS angstrom
4.383 0.000 0.000
2.191 3.796 0.000
2.191 1.265 5.578
ATOMIC_POSITIONS angstrom
H 3.814 3.599 0.836
H 4.952 1.462 4.742
H 2.191 1.265 2.189
H 5.592 2.489 0.836
H 3.742 1.504 0.836
H 6.574 3.796 3.389
H 5.023 3.557 4.742
H 3.173 2.572 4.742
Co 2.191 1.265 0.475
Co 6.574 3.796 5.103
Al 0.000 0.000 0.000
Ce 4.383 2.530 2.789
```